Here is a relaxed structure of CoAs2PdO6 from Alexandria via LeMat-Bulk. Energies are from PBE+U.

## Properties
The energy is -5.73 eV per atom. The calculation puts the density of states at the Fermi level at 0.028 states/eV per atom.

CIF file:
```
data_CoAs2PdO6
_cell_length_a 13.3155
_cell_length_b 8.4724
_cell_length_c 5.1166
_cell_angle_alpha 90.00
_cell_angle_beta 102.50
_cell_angle_gamma 90.00
_symmetry_space_group_name_H-M 'C 1 2/c 1'
_symmetry_Int_Tables_number 15
_symmetry_space_group_name_Hall '-C 2yc'
loop_
_atom_site_label
_atom_site_type_symbol
_atom_site_fract_x
_atom_site_fract_y
_atom_site_fract_z
_atom_site_occupancy
Co1 Co 0.0000 0.0802 0.2500 1
As1 As 0.1704 0.3894 0.3407 1
Pd1 Pd 0.0000 0.2654 0.7500 1
O1 O 0.0734 0.0843 0.6196 1
O2 O 0.0952 0.2401 0.1643 1
O3 O 0.1065 0.4354 0.6231 1
```